[1]
ScTe7 after structural relaxation. Source: the Alexandria database, functional PBE. Values from VASP.

Total DFT energy (no corrections) (eV per atom): -3.414

Geometry as Quantum ESPRESSO input:
```
&SYSTEM
  ibrav = 0, nat = 8, ntyp = 2
/
ATOMIC_SPECIES
Te 127.60 Te.upf
Sc 44.96 Sc.upf
CELL_PARAMETERS angstrom
3.7270 -5.1763 2.3443
-1.2870 -6.3356 -2.0937
4.3776 -3.1733 -4.1167
ATOMIC_POSITIONS crystal
Te 0.5000 0.0000 0.5000
Te 0.5000 0.5000 0.5000
Te 0.0000 0.5000 0.5000
Te 0.0000 0.0000 0.5000
Te 0.5000 0.0000 0.0000
Te 0.5000 0.5000 0.0000
Te 0.0000 0.5000 0.0000
Sc 0.0000 0.0000 0.0000
```

[2]
ScTe3 after structural relaxation. Source: the Alexandria database, functional PBE. Values from VASP.

Total DFT energy (no corrections) (eV per atom): -4.347

Geometry as Quantum ESPRESSO input:
```
&SYSTEM
  ibrav = 0, nat = 4, ntyp = 2
/
ATOMIC_SPECIES
Sc 44.96 Sc.upf
Te 127.60 Te.upf
CELL_PARAMETERS angstrom
-3.4897 -2.2886 0.3236
3.7403 -1.7983 0.5452
-0.3517 1.6448 7.8388
ATOMIC_POSITIONS crystal
Sc 0.0000 0.0000 0.0000
Te 0.0000 0.0000 0.5000
Te 0.6667 0.3333 0.2077
Te 0.6667 0.3333 0.7923
```

[3]
ScTe after structural relaxation. Source: the Alexandria database, functional PBE. Values from VASP.

Total DFT energy (no corrections) (eV per atom): -5.590

Geometry as Quantum ESPRESSO input:
```
&SYSTEM
  ibrav = 0, nat = 4, ntyp = 2
/
ATOMIC_SPECIES
Sc 44.96 Sc.upf
Te 127.60 Te.upf
CELL_PARAMETERS angstrom
4.6930 0.0000 0.0000
-2.3465 4.0643 0.0000
0.0000 0.0000 7.3147
ATOMIC_POSITIONS crystal
Sc 0.6667 0.3333 0.2655
Sc 0.0000 0.0000 0.9845
Te 0.0000 0.0000 0.3892
Te 0.6667 0.3333 0.8608
```

[4]
ScTe2 after structural relaxation. Source: the Alexandria database, functional PBE. Values from VASP.

Total DFT energy (no corrections) (eV per atom): -4.768

Geometry as Quantum ESPRESSO input:
```
&SYSTEM
  ibrav = 0, nat = 3, ntyp = 2
/
ATOMIC_SPECIES
Te 127.60 Te.upf
Sc 44.96 Sc.upf
CELL_PARAMETERS angstrom
-2.1535 -0.3815 4.8855
1.2309 -5.2075 0.1359
2.7863 0.6921 1.2822
ATOMIC_POSITIONS crystal
Te 0.5000 0.0000 0.5000
Te 0.0000 0.5000 0.5000
Sc 0.0000 0.0000 0.0000
```

[5]
Sc4Te3 after structural relaxation. Source: the Alexandria database, functional PBE. Values from VASP.

Total DFT energy (no corrections) (eV per atom): -5.835

Geometry as Quantum ESPRESSO input:
```
&SYSTEM
  ibrav = 0, nat = 7, ntyp = 2
/
ATOMIC_SPECIES
Sc 44.96 Sc.upf
Te 127.60 Te.upf
CELL_PARAMETERS angstrom
-1.9187 1.9187 11.8791
1.9187 -1.9187 11.8791
1.9187 1.9187 -11.8791
ATOMIC_POSITIONS crystal
Sc 0.4347 0.4347 0.0000
Sc 0.1433 0.1433 0.0000
Sc 0.5653 0.5653 0.0000
Sc 0.8567 0.8567 0.0000
Te 0.3114 0.3114 0.0000
Te 0.6886 0.6886 0.0000
Te 0.0000 0.0000 0.0000
```

[6]
ScTe after structural relaxation. Source: the Alexandria database, functional PBE. Values from VASP.

Total DFT energy (no corrections) (eV per atom): -5.663

Geometry as Quantum ESPRESSO input:
```
&SYSTEM
  ibrav = 0, nat = 2, ntyp = 2
/
ATOMIC_SPECIES
Te 127.60 Te.upf
Sc 44.96 Sc.upf
CELL_PARAMETERS angstrom
-0.6396 2.5191 -2.5372
0.8879 -2.3848 -2.5917
-3.4634 -1.0766 -0.1958
ATOMIC_POSITIONS crystal
Te 0.5000 0.5000 0.5000
Sc 0.0000 0.0000 0.0000
```

[7]
ScTe3 after structural relaxation. Source: the Alexandria database, functional PBE. Values from VASP.

Total DFT energy (no corrections) (eV per atom): -4.533

Geometry as Quantum ESPRESSO input:
```
&SYSTEM
  ibrav = 0, nat = 4, ntyp = 2
/
ATOMIC_SPECIES
Te 127.60 Te.upf
Sc 44.96 Sc.upf
CELL_PARAMETERS angstrom
4.2293 0.0000 0.0000
0.0000 6.1172 -0.0044
0.0000 3.6570 4.9089
ATOMIC_POSITIONS crystal
Te 0.5000 0.8059 0.8059
Te 0.5000 0.1941 0.1941
Te 0.0000 0.5000 0.5000
Sc 0.0000 0.0000 0.0000
```

[8]
ScTe after structural relaxation. Source: the Alexandria database, functional PBE. Values from VASP.

Total DFT energy (no corrections) (eV per atom): -5.559

Geometry as Quantum ESPRESSO input:
```
&SYSTEM
  ibrav = 0, nat = 12, ntyp = 2
/
ATOMIC_SPECIES
Te 127.60 Te.upf
Sc 44.96 Sc.upf
CELL_PARAMETERS angstrom
4.9312 0.0000 0.0000
-2.4656 4.2705 0.0000
0.0000 0.0000 18.0774
ATOMIC_POSITIONS crystal
Te 0.0000 0.0000 0.2579
Te 0.3333 0.6667 0.5916
Te 0.3333 0.6667 0.0751
Te 0.0000 0.0000 0.7421
Te 0.6667 0.3333 0.4084
Te 0.6667 0.3333 0.9249
Sc 0.3333 0.6667 0.2355
Sc 0.6667 0.3333 0.5689
Sc 0.0000 0.0000 0.0975
Sc 0.6667 0.3333 0.7645
Sc 0.3333 0.6667 0.4311
Sc 0.0000 0.0000 0.9025
```

[9]
ScTe after structural relaxation. Source: the Alexandria database, functional PBE. Values from VASP.

Total DFT energy (no corrections) (eV per atom): -5.893

Geometry as Quantum ESPRESSO input:
```
&SYSTEM
  ibrav = 0, nat = 8, ntyp = 2
/
ATOMIC_SPECIES
Te 127.60 Te.upf
Sc 44.96 Sc.upf
CELL_PARAMETERS angstrom
-2.7850 0.7758 2.9445
-1.1751 -1.7741 -3.5355
2.3255 -12.4726 5.4859
ATOMIC_POSITIONS crystal
Te 0.6667 0.3333 0.7500
Te 0.3333 0.6667 0.2500
Te 0.0000 0.0000 0.0000
Te 0.0000 0.0000 0.5000
Sc 0.3333 0.6667 0.6191
Sc 0.3333 0.6667 0.8809
Sc 0.6667 0.3333 0.3809
Sc 0.6667 0.3333 0.1191
```

[10]
ScTe3 after structural relaxation. Source: the Alexandria database, functional PBE. Values from VASP.

Total DFT energy (no corrections) (eV per atom): -4.391

Geometry as Quantum ESPRESSO input:
```
&SYSTEM
  ibrav = 0, nat = 4, ntyp = 2
/
ATOMIC_SPECIES
Te 127.60 Te.upf
Sc 44.96 Sc.upf
CELL_PARAMETERS angstrom
-0.9220 1.0084 3.0123
2.6620 -1.8546 0.6442
6.7465 9.3174 -1.0541
ATOMIC_POSITIONS crystal
Te 0.5000 0.5000 0.8238
Te 0.0000 0.0000 0.5000
Te 0.5000 0.5000 0.1762
Sc 0.0000 0.0000 0.0000
```

[11]
Sc4Te5 after structural relaxation. Source: the Alexandria database, functional PBE. Values from VASP.

Total DFT energy (no corrections) (eV per atom): -5.529

Geometry as Quantum ESPRESSO input:
```
&SYSTEM
  ibrav = 0, nat = 18, ntyp = 2
/
ATOMIC_SPECIES
Te 127.60 Te.upf
Sc 44.96 Sc.upf
CELL_PARAMETERS angstrom
-4.7363 6.4071 -2.7368
-1.9914 -7.9103 -2.1059
-4.4709 -0.5756 6.3899
ATOMIC_POSITIONS crystal
Te 0.2550 0.0000 0.7500
Te 0.2550 0.2550 0.2500
Te 0.0000 0.7450 0.2500
Te 0.6667 0.3333 0.0000
Te 0.7450 0.7450 0.7500
Te 0.6667 0.3333 0.5000
Te 0.3333 0.6667 0.0000
Te 0.3333 0.6667 0.5000
Te 0.0000 0.2550 0.7500
Te 0.7450 0.0000 0.2500
Sc 0.0000 0.5966 0.7500
Sc 0.5966 0.0000 0.7500
Sc 0.4034 0.4034 0.7500
Sc 0.4034 0.0000 0.2500
Sc 0.0000 0.0000 0.5000
Sc 0.0000 0.4034 0.2500
Sc 0.5966 0.5966 0.2500
Sc 0.0000 0.0000 0.0000
```

[12]
ScTe after structural relaxation. Source: the Alexandria database, functional PBE. Values from VASP.

Total DFT energy (no corrections) (eV per atom): -5.654

Geometry as Quantum ESPRESSO input:
```
&SYSTEM
  ibrav = 0, nat = 12, ntyp = 2
/
ATOMIC_SPECIES
Te 127.60 Te.upf
Sc 44.96 Sc.upf
CELL_PARAMETERS angstrom
-3.3783 -2.0804 1.1337
3.8372 -4.8242 2.5818
0.0488 6.4959 12.0654
ATOMIC_POSITIONS crystal
Te 0.5000 0.3484 0.0000
Te 0.5000 0.2533 0.7031
Te 0.0000 0.7467 0.7969
Te 0.0000 0.7467 0.2031
Te 0.0000 0.6516 0.5000
Te 0.5000 0.2533 0.2969
Sc 0.5000 0.0018 0.8759
Sc 0.0000 0.6572 0.0000
Sc 0.5000 0.3428 0.5000
Sc 0.5000 0.0018 0.1241
Sc 0.0000 0.9982 0.6241
Sc 0.0000 0.9982 0.3759
```

Respective formation energy (no corrections) values: 0.13, -0.41, -0.85, -0.56, -0.87, -0.93, -0.59, -0.82, -1.16, -0.45, -0.97, -0.92 eV/atom.